Record 1
A plane-wave DFT calculation with PBE-GGA was carried out for a relaxed YInCl2 crystal.

Cell and atoms, written as CIF:
```
data_YInCl2
_cell_length_a 3.7986
_cell_length_b 3.7986
_cell_length_c 7.1309
_cell_angle_alpha 90.00
_cell_angle_beta 90.00
_cell_angle_gamma 90.00
_symmetry_space_group_name_H-M 'P 4 m m'
_symmetry_Int_Tables_number 99
_symmetry_space_group_name_Hall 'P 4 -2'
loop_
_atom_site_label
_atom_site_fract_x
_atom_site_fract_y
_atom_site_fract_z
Y1 0.0000 0.0000 0.0000
In1 0.5000 0.5000 0.6802
Cl1 0.0000 0.0000 0.3712
Cl2 0.5000 0.5000 0.1031
```

Calculated values
E_form (uncorrected): -114 kJ per mole of atoms

Record 2
A plane-wave DFT calculation with PBE-GGA was carried out for a relaxed SrP2W crystal.

Cell and atoms, written as CIF:
```
data_SrP2W
_cell_length_a 4.6110
_cell_length_b 3.6449
_cell_length_c 10.9040
_cell_angle_alpha 90.00
_cell_angle_beta 90.00
_cell_angle_gamma 90.00
_symmetry_space_group_name_H-M 'A m m 2'
_symmetry_Int_Tables_number 38
_symmetry_space_group_name_Hall 'A 2 -2'
loop_
_atom_site_label
_atom_site_fract_x
_atom_site_fract_y
_atom_site_fract_z
Sr1 0.0000 0.0000 0.0000
P1 0.0000 0.0000 0.7192
P2 0.5000 0.0000 0.3924
W1 0.5000 0.0000 0.7501
```

Calculated values
calculated formation energy: -282 meV/atom

no.,final energy (eV/atom),volume (Å³/cell)
1,-4.401,102.9
2,-6.646,183.3